{
  "formula": "H3AuI",
  "functional": "PBE",
  "state": "optimized geometry",
  "crystal_system": "cubic",
  "lattice": [[-2.5643, 1.6415, 2.5551], [-2.6084, -2.9032, -0.7527], [1.5554, -2.1623, 2.9502]],
  "species": ["I", "H", "H", "H", "Au"],
  "fractional_positions": [[0.5000, 0.5000, 0.5000], [0.0000, 0.5000, 0.0000], [0.0000, 0.0000, 0.5000], [0.5000, 0.0000, 0.0000], [0.0000, 0.0000, 0.0000]]
}

---

{
  "formula": "H2Au2I5",
  "functional": "PBE",
  "state": "optimized geometry",
  "crystal_system": "triclinic",
  "lattice": [[28.3448, -1.5051, -2.1579], [-2.6636, 3.3575, -0.2423], [-5.0593, 2.3983, 7.3293]],
  "species": ["H", "H", "H", "H", "Au", "Au", "Au", "Au", "I", "I", "I", "I", "I", "I", "I", "I", "I", "I"],
  "fractional_positions": [[0.7284, 0.9233, 0.6890], [0.1944, 0.6048, 0.2921], [0.5035, 0.8137, 0.8285], [0.4341, 0.8849, 0.1472], [0.0107, 0.4249, 0.0303], [0.5785, 0.6845, 0.0515], [0.7696, 0.3070, 0.1328], [0.2474, 0.4507, 0.8820], [0.6453, 0.9928, 0.8648], [0.3564, 0.3940, 0.0510], [0.9625, 0.5903, 0.1600], [0.0603, 0.2834, 0.9033], [0.7547, 0.4037, 0.5784], [0.2575, 0.0135, 0.3987], [0.4451, 0.9715, 0.6452], [0.5261, 0.3737, 0.2756], [0.8951, 0.6259, 0.3907], [0.1303, 0.4294, 0.6788]]
}

---

For reference, E by record: -2.2423 -2.3188 eV per atom.